[1]
# Hg2HPd6Au

Crystalline Hg2HPd6Au at its relaxed geometry (PBE, Alexandria via LeMat-Bulk).

Unit cell a=4.873 b=5.743 c=6.450 alpha=102.25 beta=99.32 gamma=104.60
Positions (direct):
Hg1 0.000 0.000 0.000
Hg2 0.182 0.393 0.409
H1 0.739 0.368 0.748
Pd1 0.185 0.896 0.403
Pd2 0.385 0.295 0.808
Pd3 0.394 0.800 0.800
Pd4 0.781 0.087 0.594
Pd5 0.789 0.603 0.598
Pd6 0.999 0.502 0.012
Au1 0.589 0.702 0.201

Computed properties:
- VASP energy (eV/cell) = -39.046

=====

[2]
# Hg3H2Pd9Au

Crystalline Hg3H2Pd9Au at its relaxed geometry (PBE, Alexandria via LeMat-Bulk).

Unit cell a=5.689 b=5.689 c=8.948 alpha=90.00 beta=90.00 gamma=120.00
Positions (direct):
Hg1 0.000 0.000 0.000
Hg2 0.333 0.667 0.706
Hg3 0.667 0.333 0.294
H1 0.333 0.667 0.133
H2 0.667 0.333 0.867
Pd1 0.000 0.500 0.000
Pd2 0.168 0.337 0.263
Pd3 0.168 0.832 0.263
Pd4 0.337 0.168 0.737
Pd5 0.500 0.000 0.000
Pd6 0.500 0.500 0.000
Pd7 0.663 0.832 0.263
Pd8 0.832 0.168 0.737
Pd9 0.832 0.663 0.737
Au1 0.000 0.000 0.500

Computed properties:
- VASP energy (eV/cell) = -57.931